Tb2HoHg3 | PBE | relaxed

Total magnetic moment   0.37 μB/cell
Calculated volume   25.919 Å³ per atom
Calculated density   11.6 g cm⁻³
Energy of formation   -0.480 eV/atom
DOS at the Fermi energy   1.06 states/eV/atom
VASP energy   -2.937 eV/atom

Lattice parameters (Å, degrees): 3.7323 3.7323 11.1639 90.00 90.00 90.00
Closest atoms and distances in Å follow each position.
Fractional positions:
Tb1 0.0000 0.0000 0.1675  8 Hg 3.23-3.24
Tb2 0.0000 0.0000 0.8325  8 Hg 3.23-3.24
Ho1 0.0000 0.0000 0.5000  8 Hg 3.21
Hg1 0.5000 0.5000 0.0000  8 Tb 3.23
Hg2 0.5000 0.5000 0.3363  4 Ho 3.21, 4 Tb 3.24
Hg3 0.5000 0.5000 0.6637  4 Ho 3.21, 4 Tb 3.24

***

MgTcRu2 | PBE | relaxed

Total magnetic moment   0.00 μB/cell
Calculated volume   14.909 Å³ per atom
Calculated density   9.0 g cm⁻³
Energy of formation   0.086 eV/atom
DOS at the Fermi energy   1.05 states/eV/atom
VASP energy   -7.542 eV/atom

Lattice parameters (Å, degrees): 9.0509 9.0509 9.0509 17.67 17.67 17.67
Closest atoms and distances in Å follow each position.
Fractional positions:
Mg1 0.0000 0.0000 0.0000  6 Mg 2.78, 6 Ru 2.83
Tc1 0.5000 0.5000 0.5000  6 Ru 2.66, 6 Tc 2.78
Ru1 0.2462 0.2462 0.2462  3 Tc 2.66, 6 Ru 2.78, 3 Mg 2.83
Ru2 0.7538 0.7538 0.7538  3 Tc 2.66, 6 Ru 2.78, 3 Mg 2.83

***

AcPu2Fe | PBE | relaxed

Total magnetic moment   10.18 μB/cell
Calculated volume   29.352 Å³ per atom
Calculated density   10.9 g cm⁻³
Energy of formation   0.346 eV/atom
DOS at the Fermi energy   3.30 states/eV/atom
VASP energy   -9.963 eV/atom

Lattice parameters (Å, degrees): 10.3099 10.3099 10.3099 20.48 20.48 20.48
Closest atoms and distances in Å follow each position.
Fractional positions:
Ac1 0.0000 0.0000 0.0000  2 Pu 3.48, 6 Ac 3.67
Pu1 0.1150 0.1150 0.1150  3 Fe 2.63
Pu2 0.8850 0.8850 0.8850  3 Fe 2.63
Fe1 0.5000 0.5000 0.5000  6 Pu 2.63

***

Fe3NiI | PBE | relaxed

Total magnetic moment   7.15 μB/cell
Calculated volume   19.667 Å³ per atom
Calculated density   6.0 g cm⁻³
DOS at the Fermi energy   1.46 states/eV/atom
VASP energy   -4.798 eV/atom

Lattice parameters (Å, degrees): 4.6157 4.6157 4.6157 90.00 90.00 90.00
Closest atoms and distances in Å follow each position.
Fractional positions:
Fe1 0.0000 0.0000 0.5000  2 I 2.31
Fe2 0.0000 0.5000 0.0000  2 I 2.31
Fe3 0.5000 0.0000 0.0000  2 I 2.31
Ni1 0.5000 0.5000 0.5000  12 Fe 3.26
I1 0.0000 0.0000 0.0000  6 Fe 2.31

***

Please write out number 4 again, unchanged.
Fe3NiI | PBE | relaxed

Total magnetic moment   7.15 μB/cell
Calculated volume   19.667 Å³ per atom
Calculated density   6.0 g cm⁻³
DOS at the Fermi energy   1.46 states/eV/atom
VASP energy   -4.798 eV/atom

Lattice parameters (Å, degrees): 4.6157 4.6157 4.6157 90.00 90.00 90.00
Closest atoms and distances in Å follow each position.
Fractional positions:
Fe1 0.0000 0.0000 0.5000  2 I 2.31
Fe2 0.0000 0.5000 0.0000  2 I 2.31
Fe3 0.5000 0.0000 0.0000  2 I 2.31
Ni1 0.5000 0.5000 0.5000  12 Fe 3.26
I1 0.0000 0.0000 0.0000  6 Fe 2.31

***

- Which value of calculated density does entry 3 give?
  10.9 g cm⁻³

***

- Which of these has the lowest calculated density?
  Fe3NiI